[1]
K3NaAg2Sb2 | PBE | optimized geometry

Its space group is No. 6. Its total energy is -21.6 eV/cell.

```
K3NaAg2Sb2
1.0
6.468 0.000 0.000
0.000 6.165 0.000
-1.435 0.000 6.597
Sb Ag K Na
2 2 3 1
Cartesian
3.815 0.000 4.765
1.337 3.083 1.853
6.454 4.616 0.050
6.454 1.549 0.050
4.622 3.083 3.183
1.791 3.083 5.395
3.193 0.000 1.158
0.367 0.000 3.336
```

[2]
Li2MgZnGa2Pd2 | PBE | optimized geometry

Its space group is No. 115. Its total energy is -27.4 eV/cell.

```
Li2MgZnGa2Pd2
1.0
-1.647 3.870 1.194
-1.259 -1.714 3.820
5.466 1.555 2.499
Pd Li Ga Mg Zn
2 2 2 1 1
Cartesian
3.313 3.112 2.488
0.699 -0.479 2.518
3.545 0.331 3.818
0.468 2.302 1.187
2.733 0.778 1.249
-1.453 1.078 2.507
1.280 1.856 3.756
0.000 0.000 0.000
```

[3]
TbDyIn4Ni2 | PBE | optimized geometry

Its space group is No. 38. As for the size of the total moment: 0.00 μB per formula unit. Its total energy is -34.9 eV/cell.

```
TbDyIn4Ni2
1.0
7.440 0.000 0.000
0.000 2.157 5.229
0.000 -2.157 5.229
In Dy Tb Ni
4 1 1 2
Cartesian
5.955 0.000 1.511
5.210 0.000 8.948
1.486 0.000 1.511
2.230 0.000 8.948
0.000 0.000 4.544
3.720 0.000 5.914
3.720 0.000 2.959
0.000 0.000 7.496
```

[4]
Nd2TmMg3Al2Cd | PBE | optimized geometry

Its space group is No. 38. As for the size of the total moment: 0.01 μB per formula unit. Its total energy is -29.8 eV/cell.

```
Nd2TmMg3Al2Cd
1.0
4.625 0.000 0.000
0.000 6.426 3.797
0.000 -6.426 3.797
Mg Al Tm Nd Cd
3 2 1 2 1
Cartesian
2.313 0.000 1.851
2.313 -1.578 6.660
2.313 1.578 6.660
2.313 2.089 3.824
2.313 -2.089 3.824
0.000 0.000 4.352
0.000 2.738 1.643
0.000 -2.738 1.643
0.000 0.000 7.513
```

[5]
YNiBAu | PBE | optimized geometry

Its space group is No. 216. As for the size of the total moment: 0.00 μB per formula unit. Its total energy is -21.4 eV/cell.

```
YNiBAu
1.0
-0.515 0.254 4.394
-2.654 3.090 1.745
-3.851 -1.176 1.851
B Ni Y Au
1 1 1 1
Cartesian
0.000 0.000 0.000
-3.510 1.084 3.996
-5.265 1.626 5.994
-1.755 0.542 1.998
```

[6]
LuBi2Pt | PBE | optimized geometry

Its space group is No. 216. As for the size of the total moment: 0.01 μB per formula unit. Its total energy is -19.7 eV/cell.

```
LuBi2Pt
1.0
4.426 -1.911 -1.925
0.589 -5.128 -0.556
0.071 -2.106 -4.745
Lu Bi Pt
1 2 1
Cartesian
2.543 -4.572 -3.613
3.815 -6.858 -5.419
0.000 0.000 0.000
1.272 -2.286 -1.806
```

[7]
Rb3PmF6 | PBE | optimized geometry

Its space group is No. 14. As for the size of the total moment: 0.01 μB per formula unit. Its total energy is -103.0 eV/cell.

```
Rb3PmF6
1.0
6.482 0.000 0.000
0.000 6.771 0.000
-6.262 0.000 9.130
F Rb Pm
12 6 2
Cartesian
-0.914 1.822 8.450
1.827 1.213 0.460
-3.877 2.963 6.639
-1.607 5.558 8.670
1.524 4.598 4.105
-1.304 2.172 5.026
4.097 3.807 2.491
1.134 4.949 0.680
-1.997 5.207 5.245
-0.746 0.422 2.074
2.217 1.564 3.885
0.966 6.349 7.056
-2.952 0.373 6.881
0.041 3.758 6.814
3.241 3.385 0.000
3.172 6.398 2.249
0.179 3.013 2.316
0.110 0.000 4.565
-3.131 3.385 4.565
0.000 0.000 0.000
```

[8]
TaInAuO3 | PBE | optimized geometry

Its space group is No. 62. As for the size of the total moment: 0.01 μB per formula unit. Its total energy is -170.1 eV/cell.

```
TaInAuO3
1.0
-1.903 2.736 9.686
2.927 -0.767 0.792
3.750 11.672 -2.561
Ta Au O In
4 4 12 4
Cartesian
2.668 6.418 2.532
0.643 7.606 4.989
1.184 0.020 1.822
-1.623 2.333 8.260
3.943 11.593 2.828
-0.632 2.432 4.693
2.989 4.433 -0.578
0.322 9.592 8.099
0.955 9.353 5.527
-0.095 3.142 9.574
2.607 7.788 4.081
1.693 6.452 6.167
-0.093 1.501 1.799
1.617 7.573 1.354
-0.970 3.589 7.062
2.356 4.671 1.994
3.404 12.524 5.722
3.406 10.883 -2.053
0.703 6.237 3.440
4.280 10.436 0.459
-0.769 5.470 8.141
1.603 3.584 3.723
1.708 10.441 3.798
4.079 8.555 -0.620
```

[9]
PaCd | PBE | optimized geometry

The value obtained for the formation energy is 0.060 eV per atom. Its space group is No. 187. As for the size of the total moment: 0.03 μB per formula unit. Its total energy is -10.3 eV/cell.

```
PaCd
1.0
-2.448 1.944 0.112
0.084 -2.288 -2.132
-2.570 -3.444 3.595
Cd Pa
1 1
Cartesian
-3.532 -2.049 2.061
-1.403 -1.738 -0.485
```

[10]
CuAg7 | PBE | optimized geometry

The value obtained for the energy relative to the lowest polymorph listed for this composition is 0.015 eV per atom. The value obtained for the formation energy is 0.039 eV per atom. Its space group is No. 69. Its total energy is -23.2 eV/cell.

```
CuAg7
1.0
5.793 -2.709 -3.066
3.930 -5.061 0.957
-0.608 -2.902 -4.048
Ag Cu
7 1
Cartesian
7.192 -6.577 -2.585
5.518 -7.383 -4.866
4.558 -5.336 -3.079
8.155 -8.626 -4.371
1.924 -4.095 -3.573
3.598 -3.289 -1.292
0.960 -2.047 -1.787
0.000 0.000 0.000
```

[11]
Dy3In3PtAu2 | PBE | optimized geometry

Its space group is No. 189. As for the size of the total moment: 0.01 μB per formula unit. Its total energy is -42.1 eV/cell.

```
Dy3In3PtAu2
1.0
7.725 0.000 0.000
-3.862 6.690 0.000
0.000 0.000 3.949
Pt Au Dy In
1 2 3 3
Cartesian
0.000 0.000 1.974
3.862 2.230 0.000
0.000 4.460 0.000
3.098 0.000 1.974
-1.549 2.683 1.974
2.314 4.007 1.974
5.743 0.000 0.000
-2.871 4.973 0.000
0.991 1.716 0.000
```

[12]
ReBiPO | PBE | optimized geometry

The value obtained for the energy relative to the lowest polymorph listed for this composition is 0.158 eV per atom. Its space group is No. 26. As for the size of the total moment: 0.00 μB per formula unit. Its total energy is -55.7 eV/cell.

```
ReBiPO
1.0
-0.366 1.723 3.367
6.474 -4.646 3.082
3.103 3.395 -1.400
O P Bi Re
2 2 2 2
Cartesian
5.165 2.267 1.545
5.180 -0.555 2.991
7.192 0.073 0.745
3.509 -0.095 0.430
8.570 -0.036 3.094
1.930 1.918 1.372
5.445 1.337 -0.092
5.267 -1.346 1.262
```